Record 1
The following is a DFT calculation (PBE-GGA) of a relaxed structure of Hg2OsSe.

Computed properties:
- V (Å³ per cell) = 487.9
- density of states at the Fermi level (states/eV/cell) = 10.80
- formation energy from raw total energies (eV per atom) = 1.263

Structure (POSCAR):
```
Hg2OsSe
1.0
6.4195 0.0000 0.0000
0.0000 6.4195 0.0000
0.0000 0.0000 11.8396
Hg Os Se
8 4 4
direct
0.2404 0.2500 0.1250
0.2500 0.7404 0.3750
0.2500 0.7596 0.8750
0.2596 0.2500 0.6250
0.7404 0.7500 0.6250
0.7500 0.2404 0.8750
0.7500 0.2596 0.3750
0.7596 0.7500 0.1250
0.0000 0.0000 0.0000
0.0000 0.5000 0.2500
0.5000 0.0000 0.7500
0.5000 0.5000 0.5000
0.0000 0.0000 0.5000
0.0000 0.5000 0.7500
0.5000 0.0000 0.2500
0.5000 0.5000 0.0000
```


Record 2
The following is a DFT calculation (PBE-GGA) of a relaxed structure of SrLiMgHg2.

Computed properties:
- distance to the lowest polymorph of the same formula (meV/atom) = 0
- ΔE_f (eV per atom) = -0.3759
- V (Å³ per cell) = 261.6
- density of states at the Fermi level (states/eV/cell) = 5.35

Structure (POSCAR):
```
SrLiMgHg2
1.0
4.4284 0.0000 0.0000
0.0000 4.4284 0.0000
0.0000 0.0000 13.3383
Sr Li Mg Hg
2 2 2 4
direct
0.0000 0.0000 0.0000
0.5000 0.5000 0.5000
0.0000 0.5000 0.7500
0.5000 0.0000 0.2500
0.0000 0.5000 0.2500
0.5000 0.0000 0.7500
0.0000 0.0000 0.3861
0.0000 0.0000 0.6139
0.5000 0.5000 0.1139
0.5000 0.5000 0.8861
```


Record 3
The following is a DFT calculation (PBE-GGA) of a relaxed structure of Sb3RhCl.

Computed properties:
- distance to the lowest polymorph of the same formula (meV/atom) = 872
- V (Å³ per cell) = 136.1
- density of states at the Fermi level (states/eV/cell) = 2.75
- formation energy from raw total energies (eV per atom) = 1.114

Structure (POSCAR):
```
Sb3RhCl
1.0
5.1437 0.0000 0.0000
0.0000 5.1437 0.0000
0.0000 0.0000 5.1437
Sb Rh Cl
3 1 1
direct
0.0000 0.0000 0.5000
0.0000 0.5000 0.0000
0.5000 0.0000 0.0000
0.5000 0.5000 0.5000
0.0000 0.0000 0.0000
```


Record 4
The following is a DFT calculation (PBE-GGA) of a relaxed structure of CaReOs3.

Computed properties:
- distance to the lowest polymorph of the same formula (meV/atom) = 0
- ΔE_f (eV per atom) = 1.4666
- V (Å³ per cell) = 108.1
- density of states at the Fermi level (states/eV/cell) = 5.64

Structure (POSCAR):
```
CaReOs3
1.0
4.7641 0.0000 0.0000
0.0000 4.7641 0.0000
0.0000 0.0000 4.7641
Ca Re Os
1 1 3
direct
0.0000 0.0000 0.0000
0.5000 0.5000 0.5000
0.0000 0.5000 0.5000
0.5000 0.0000 0.5000
0.5000 0.5000 0.0000
```


Record 5
The following is a DFT calculation (PBE-GGA) of a relaxed structure of MgZrCu2.

Computed properties:
- ΔE_f (eV per atom) = -0.1050
- V (Å³ per cell) = 66.4
- density of states at the Fermi level (states/eV/cell) = 2.73

Structure (POSCAR):
```
MgZrCu2
1.0
2.9678 0.0000 0.0000
0.0000 3.2308 0.0000
-0.0293 0.0000 6.9274
Mg Zr Cu
1 1 2
direct
0.0000 0.0000 0.0000
0.0000 0.0000 0.5000
0.4993 0.5000 0.2390
0.5007 0.5000 0.7610
```


Record 6
The following is a DFT calculation (PBE-GGA) of a relaxed structure of Th4SiSeS2.

Computed properties:
- V (Å³ per cell) = 201.4
- density of states at the Fermi level (states/eV/cell) = 4.69
- formation energy from raw total energies (eV per atom) = -1.509

Structure (POSCAR):
```
Th4SiSeS2
1.0
7.0970 0.0000 0.0000
0.0000 4.1992 0.0000
-2.4722 0.0000 6.7594
Th Si Se S
4 1 1 2
direct
0.2386 0.0000 0.2391
0.2431 0.5000 0.7551
0.7569 0.5000 0.2449
0.7614 0.0000 0.7609
0.5000 0.0000 0.0000
0.5000 0.5000 0.5000
0.0000 0.0000 0.5000
0.0000 0.5000 0.0000
```


Record 7
The following is a DFT calculation (PBE-GGA) of a relaxed structure of La8Tc3Br4O.

Computed properties:
- V (Å³ per cell) = 459.3
- density of states at the Fermi level (states/eV/cell) = 9.29
- formation energy from raw total energies (eV per atom) = -0.974

Structure (POSCAR):
```
La8Tc3Br4O
1.0
7.0882 -4.0867 0.0000
7.0882 4.0867 0.0000
-4.7350 0.0000 7.9278
La Tc Br O
8 3 4 1
direct
0.2236 0.7368 0.6838
0.2252 0.2252 0.6850
0.2620 0.2620 0.2860
0.2632 0.7764 0.3162
0.7368 0.2236 0.6838
0.7380 0.7380 0.7140
0.7748 0.7748 0.3150
0.7764 0.2632 0.3162
0.0000 0.5000 0.5000
0.5000 0.0000 0.5000
0.5000 0.5000 0.5000
0.0000 0.0000 0.0000
0.0000 0.5000 0.0000
0.5000 0.0000 0.0000
0.5000 0.5000 0.0000
0.0000 0.0000 0.5000
```


Record 8
The following is a DFT calculation (PBE-GGA) of a relaxed structure of SmEu2Cu.

Computed properties:
- distance to the lowest polymorph of the same formula (meV/atom) = 91
- ΔE_f (eV per atom) = 0.1107
- V (Å³ per cell) = 389.2
- density of states at the Fermi level (states/eV/cell) = 22.34

Structure (POSCAR):
```
SmEu2Cu
1.0
3.7889 0.0000 0.0000
-1.8944 3.2812 0.0000
0.0000 0.0000 31.3075
Sm Eu Cu
3 6 3
direct
0.0000 0.0000 0.0000
0.3333 0.6667 0.6667
0.6667 0.3333 0.3333
0.0000 0.0000 0.2325
0.0000 0.0000 0.7675
0.3333 0.6667 0.4342
0.3333 0.6667 0.8991
0.6667 0.3333 0.1009
0.6667 0.3333 0.5658
0.0000 0.0000 0.5000
0.3333 0.6667 0.1667
0.6667 0.3333 0.8333
```


Record 9
The following is a DFT calculation (PBE-GGA) of a relaxed structure of SbPOs2.

Computed properties:
- distance to the lowest polymorph of the same formula (meV/atom) = 537
- V (Å³ per cell) = 134.3
- density of states at the Fermi level (states/eV/cell) = 4.56
- formation energy from raw total energies (eV per atom) = 0.632

Structure (POSCAR):
```
SbPOs2
1.0
2.9323 0.0000 0.0000
0.0000 5.2351 0.0000
0.0000 0.0000 8.7511
Sb P Os
2 2 4
direct
0.0000 0.0000 0.0000
0.5000 0.5000 0.0000
0.0000 0.0000 0.5000
0.5000 0.5000 0.5000
0.0000 0.5000 0.2981
0.0000 0.5000 0.7019
0.5000 0.0000 0.2981
0.5000 0.0000 0.7019
```


Record 10
The following is a DFT calculation (PBE-GGA) of a relaxed structure of ReNiI3.

Computed properties:
- V (Å³ per cell) = 150.3
- density of states at the Fermi level (states/eV/cell) = 4.05
- formation energy from raw total energies (eV per atom) = 1.234

Structure (POSCAR):
```
ReNiI3
1.0
5.3168 0.0000 0.0000
0.0000 5.3168 0.0000
0.0000 0.0000 5.3168
Re Ni I
1 1 3
direct
0.0000 0.0000 0.0000
0.5000 0.5000 0.5000
0.0000 0.5000 0.5000
0.5000 0.0000 0.5000
0.5000 0.5000 0.0000
```